# ScTaCd2

A relaxed structure of ScTaCd2 (PBE, Alexandria).

Cell lengths 5.8238, 5.8238, 5.4224 Å; angles 115.96, 115.96, 29.95 degrees
Last column: nearest neighbours and their distance in Å.
Atoms (fractional coordinates):
Sc1 0.0000 0.0000 0.0000  3 Ta 2.97-3.14, 2 Sc 3.01, 7 Cd 3.04-3.16
Ta1 0.2554 0.2554 0.9049  3 Sc 2.97-3.14, 2 Ta 3.01, 7 Cd 3.07-3.16
Cd1 0.5064 0.5064 0.4928  5 Cd 3.01-3.06, 4 Sc 3.04-3.16, 3 Ta 3.07-3.16
Cd2 0.7572 0.7572 0.4071  5 Cd 3.01-3.06, 4 Ta 3.10, 3 Sc 3.12-3.14

**Energy of formation**: 11.2 kJ/mol of atoms
**Polymorph energy (0 for the lowest one)**: 0.1166 eV per atom
**Electronic total energy**: -19.55 eV for the cell shown
**Crystal system**: monoclinic

# ScTaCd2

A relaxed structure of ScTaCd2 (PBE, Alexandria).

Cell lengths 5.2608, 5.2608, 5.2608 Å; angles 131.06, 131.06, 71.72 degrees
Last column: nearest neighbours and their distance in Å.
Atoms (fractional coordinates):
Sc1 0.0000 0.0000 0.0000  8 Cd 3.05, 4 Ta 3.08
Ta1 0.5000 0.5000 0.0000  8 Cd 3.05, 4 Sc 3.08
Cd1 0.2500 0.7500 0.5000  4 Ta 3.05, 4 Sc 3.05, 4 Cd 3.08
Cd2 0.7500 0.2500 0.5000  4 Ta 3.05, 4 Sc 3.05, 4 Cd 3.08

**Energy of formation**: 16.9 kJ/mol of atoms
**Polymorph energy (0 for the lowest one)**: 0.1756 eV per atom
**Electronic total energy**: -19.31 eV for the cell shown
**Crystal system**: tetragonal

# ScTaCd2

A relaxed structure of ScTaCd2 (PBE, Alexandria).

Cell lengths 10.3891, 10.3891, 10.3891 Å; angles 16.93, 16.93, 16.93 degrees
Last column: nearest neighbours and their distance in Å.
Atoms (fractional coordinates):
Sc1 0.0000 0.0000 0.0000  6 Sc 3.06, 6 Cd 3.14
Ta1 0.5000 0.5000 0.5000  6 Ta 3.06, 6 Cd 3.08
Cd1 0.2489 0.2489 0.2489  6 Cd 3.06, 3 Ta 3.08, 3 Sc 3.14
Cd2 0.7511 0.7511 0.7511  6 Cd 3.06, 3 Ta 3.08, 3 Sc 3.14

**Energy of formation**: 17.2 kJ/mol of atoms
**Polymorph energy (0 for the lowest one)**: 0.1784 eV per atom
**Electronic total energy**: -19.30 eV for the cell shown
**Crystal system**: trigonal

# ScTaCd2

A relaxed structure of ScTaCd2 (PBE, Alexandria).

Cell lengths 6.2577, 6.2577, 6.2577 Å; angles 102.02, 102.02, 125.70 degrees
Last column: nearest neighbours and their distance in Å.
Atoms (fractional coordinates):
Sc1 0.0000 0.0000 0.0000  2 Ta 2.86, 4 Cd 2.93
Sc2 0.7500 0.2500 0.5000  2 Ta 2.86, 4 Cd 2.93
Ta1 0.2500 0.7500 0.5000  4 Cd 2.82, 2 Sc 2.86
Ta2 0.5000 0.5000 0.0000  4 Cd 2.82, 2 Sc 2.86
Cd1 0.1350 0.6250 0.0100  2 Ta 2.82, 2 Cd 2.86, 2 Sc 2.93
Cd2 0.3750 0.3850 0.5100  2 Ta 2.82, 2 Cd 2.86, 2 Sc 2.93
Cd3 0.6150 0.1250 0.9900  2 Ta 2.82, 2 Cd 2.86, 2 Sc 2.93
Cd4 0.8750 0.8650 0.4900  2 Ta 2.82, 2 Cd 2.86, 2 Sc 2.93

**Energy of formation**: 55.8 kJ/mol of atoms
**Polymorph energy (0 for the lowest one)**: 0.5779 eV per atom
**Electronic total energy**: -35.41 eV for the cell shown
**Crystal system**: tetragonal

# Sc2Ta2Cd

A relaxed structure of Sc2Ta2Cd (PBE, Alexandria).

Cell lengths 7.5586, 7.5586, 3.7496 Å; angles 90.00, 90.00, 90.00 degrees
Last column: nearest neighbours and their distance in Å.
Atoms (fractional coordinates):
Sc1 0.1687 0.3313 0.0000  6 Ta 2.91-2.92
Sc2 0.3313 0.8313 0.0000  6 Ta 2.91-2.92
Sc3 0.6687 0.1687 0.0000  6 Ta 2.91-2.92
Sc4 0.8313 0.6687 0.0000  6 Ta 2.91-2.92
Ta1 0.1237 0.6237 0.5000  1 Ta 2.64, 6 Sc 2.91-2.92
Ta2 0.3763 0.1237 0.5000  1 Ta 2.64, 6 Sc 2.91-2.92
Ta3 0.6237 0.8763 0.5000  1 Ta 2.64, 6 Sc 2.91-2.92
Ta4 0.8763 0.3763 0.5000  1 Ta 2.64, 6 Sc 2.91-2.92
Cd1 0.0000 0.0000 0.5000  4 Ta 2.99
Cd2 0.5000 0.5000 0.5000  4 Ta 2.99

**Energy of formation**: 29.8 kJ/mol of atoms
**Electronic total energy**: -71.48 eV for the cell shown
**Crystal system**: tetragonal

# ScTaCd

A relaxed structure of ScTaCd (PBE, Alexandria).

Cell lengths 3.1066, 3.1066, 7.5087 Å; angles 90.00, 90.00, 120.00 degrees
Last column: nearest neighbours and their distance in Å.
Atoms (fractional coordinates):
Sc1 0.0000 0.0000 0.0000  3 Ta 2.95, 6 Sc 3.11, 3 Cd 3.19
Ta1 0.6667 0.3333 0.3127  3 Sc 2.95, 3 Cd 3.10, 6 Ta 3.11
Cd1 0.3333 0.6667 0.6491  3 Ta 3.10, 6 Cd 3.11, 3 Sc 3.19

**Energy of formation**: 10.3 kJ/mol of atoms
**Polymorph energy (0 for the lowest one)**: 0.1780 eV per atom
**Electronic total energy**: -18.78 eV for the cell shown
**Crystal system**: trigonal